[1]
MnBeRh2: optimized geometry, PBE.

* crystal system: tetragonal
* calculated volume: 47 Å³/cell

The structure in CIF format:
```
data_MnBeRh2
_cell_length_a 2.710
_cell_length_b 2.710
_cell_length_c 6.404
_cell_angle_alpha 90.00
_cell_angle_beta 90.00
_cell_angle_gamma 90.00
_space_group_name_H-M_alt 'P 4 m m'
_space_group_IT_number 99
_space_group_name_Hall 'P 4 -2'
loop_
_atom_site_label
_atom_site_type_symbol
_atom_site_fract_x
_atom_site_fract_y
_atom_site_fract_z
_atom_site_occupancy
Mn1 Mn 0.000 0.000 0.000 1
Be1 Be 0.500 0.500 0.784 1
Rh1 Rh 0.000 0.000 0.577 1
Rh2 Rh 0.500 0.500 0.262 1
```

=====

[2]
Nb7S12N: optimized geometry, PBE.

* energy relative to the elements, uncorrected: -0.923 eV per atom
* crystal system: trigonal
* calculated volume: 1137 Å³/cell

The structure in CIF format:
```
data_Nb7S12N
_cell_length_a 12.5579
_cell_length_b 12.5579
_cell_length_c 8.3219
_cell_angle_alpha 90.00
_cell_angle_beta 90.00
_cell_angle_gamma 120.00
_space_group_name_H-M_alt 'R -3'
_space_group_IT_number 148
_space_group_name_Hall '-R 3'
loop_
_atom_site_label
_atom_site_type_symbol
_atom_site_fract_x
_atom_site_fract_y
_atom_site_fract_z
_atom_site_occupancy
Nb1 Nb 0.0000 0.0000 0.0000 1
Nb2 Nb 0.0446 0.1600 0.3481 1
S1 S 0.0239 0.5820 0.1633 1
S2 S 0.0512 0.1852 0.8363 1
N1 N 0.0000 0.0000 0.5000 1
```

=====

[3]
Pr6Si2HgI3: optimized geometry, PBE.

* energy relative to the elements, uncorrected: -0.844 eV per atom
* crystal system: monoclinic
* calculated volume: 782 Å³/cell

The structure in CIF format:
```
data_Pr6Si2HgI3
_cell_length_a 19.976
_cell_length_b 4.366
_cell_length_c 9.343
_cell_angle_alpha 90.00
_cell_angle_beta 106.40
_cell_angle_gamma 90.00
_space_group_name_H-M_alt 'C 1 2/m 1'
_space_group_IT_number 12
_space_group_name_Hall '-C 2y'
loop_
_atom_site_label
_atom_site_type_symbol
_atom_site_fract_x
_atom_site_fract_y
_atom_site_fract_z
_atom_site_occupancy
Pr1 Pr 0.014 0.000 0.241 1
Pr2 Pr 0.163 0.500 0.120 1
Pr3 Pr 0.178 0.500 0.556 1
Si1 Si 0.168 0.000 0.336 1
Hg1 Hg 0.000 0.500 0.000 1
I1 I 0.000 0.500 0.500 1
I2 I 0.166 0.000 0.831 1
```

=====

Record order is preserved below.
Final energy: -7.06, -7.34, -4.55 eV per atom